Entry from Alexandria: crystalline In2MoO5 at its relaxed geometry (PBE with a Hubbard U).

Cell lengths 3.6698, 7.3739, 15.3652 Å; angles 90.00, 90.00, 90.00 degrees
Last column: nearest neighbours and their distance in Å.
Fractional coordinates of all 32 atoms:
In: 0.7500 0.4086 0.4108  6 O 2.26-2.36
In: 0.2500 0.1570 0.2586  6 O 2.13-2.31
In: 0.2500 0.0914 0.9108  6 O 2.26-2.36
In: 0.2500 0.6570 0.2414  6 O 2.13-2.31
In: 0.7500 0.3430 0.7586  6 O 2.13-2.31
In: 0.7500 0.8430 0.7414  6 O 2.13-2.31
In: 0.7500 0.9086 0.0892  6 O 2.26-2.36
In: 0.2500 0.5914 0.5892  6 O 2.26-2.36
O: 0.2500 0.9125 0.4654  2 Mo 1.94
O: 0.7500 0.1159 0.3481  1 Mo 2.09, 2 In 2.31
O: 0.7500 0.2131 0.1739  1 Mo 2.00
O: 0.2500 0.8841 0.6519  1 Mo 2.09, 2 In 2.31
O: 0.2500 0.2869 0.6739  1 Mo 2.00
O: 0.7500 0.6159 0.1519  1 Mo 2.09, 2 In 2.31
O: 0.2500 0.3561 0.4954  1 Mo 2.14, 3 In 2.26-2.28
O: 0.2500 0.3841 0.8481  1 Mo 2.09, 2 In 2.31
O: 0.7500 0.0826 0.8183  4 In 2.13-2.32
O: 0.7500 0.5875 0.9654  2 Mo 1.94
O: 0.2500 0.9174 0.1817  4 In 2.13-2.32
O: 0.2500 0.8561 0.0046  1 Mo 2.14, 3 In 2.26-2.28
O: 0.2500 0.4125 0.0346  2 Mo 1.94
O: 0.7500 0.5826 0.6817  4 In 2.13-2.32
O: 0.2500 0.4174 0.3183  4 In 2.13-2.32
O: 0.7500 0.0875 0.5346  2 Mo 1.94
O: 0.7500 0.1439 0.9954  1 Mo 2.14, 3 In 2.26-2.28
O: 0.7500 0.7131 0.3261  1 Mo 2.00
O: 0.7500 0.6439 0.5046  1 Mo 2.14, 3 In 2.26-2.28
O: 0.2500 0.7869 0.8261  1 Mo 2.00
Mo: 0.2500 0.6157 0.9269  5 O 1.94-2.14
Mo: 0.7500 0.8843 0.4269  5 O 1.94-2.14
Mo: 0.2500 0.1157 0.5731  5 O 1.94-2.14
Mo: 0.7500 0.3843 0.0731  5 O 1.94-2.14

Values from the calculation:
- Electronic total energy: -6.216 eV per atom